(1)
A geometry-optimized Ti4Al2Au3 structure, computed with PBE-GGA.

a b c (Å): 4.418 5.504 6.989
angles (deg): 77.08 90.03 66.33
Sites, in units of the cell vectors:
Ti (0.333, 0.334, 0.000)
Ti (0.889, 0.223, 0.333)
Ti (0.111, 0.777, 0.667)
Ti (0.667, 0.666, 0.000)
Al (0.792, 0.416, 0.697)
Al (0.208, 0.584, 0.303)
Au (0.584, 0.832, 0.369)
Au (0.000, 0.000, 0.000)
Au (0.416, 0.168, 0.631)

Summary:
The space group is No. 12.

(2)
A geometry-optimized Ti5Al8Au structure, computed with PBE-GGA.

a b c (Å): 6.793 6.793 6.793
angles (deg): 108.87 110.68 108.87
Sites, in units of the cell vectors:
Ti (0.946, 0.418, 0.151)
Ti (0.849, 0.794, 0.267)
Ti (0.733, 0.582, 0.528)
Ti (0.500, 0.000, 0.500)
Ti (0.472, 0.206, 0.054)
Al (0.114, 0.779, 0.020)
Al (0.980, 0.094, 0.758)
Al (0.817, 0.196, 0.385)
Al (0.615, 0.431, 0.811)
Al (0.380, 0.569, 0.183)
Al (0.665, 0.906, 0.886)
Al (0.242, 0.221, 0.335)
Al (0.189, 0.804, 0.620)
Au (0.250, 0.500, 0.750)

Summary:
The space group is No. 82.

(3)
A geometry-optimized Ti2Al6Au structure, computed with PBE-GGA.

a b c (Å): 3.026 7.303 7.836
angles (deg): 117.77 89.97 90.00
Sites, in units of the cell vectors:
Ti (0.500, 0.689, 0.379)
Ti (0.500, 0.311, 0.621)
Al (0.000, 0.348, 0.324)
Al (0.000, 0.024, 0.676)
Al (0.000, 0.652, 0.676)
Al (0.500, 0.315, 0.000)
Al (0.000, 0.976, 0.324)
Al (0.500, 0.685, 0.000)
Au (0.000, 0.000, 0.000)

Summary:
The space group is No. 65.

(4)
A geometry-optimized Ti5AlAu8 structure, computed with PBE-GGA.

a b c (Å): 6.890 6.890 6.890
angles (deg): 110.08 108.25 110.08
Sites, in units of the cell vectors:
Ti (0.963, 0.410, 0.119)
Ti (0.881, 0.844, 0.291)
Ti (0.709, 0.590, 0.553)
Ti (0.500, 0.000, 0.500)
Ti (0.447, 0.156, 0.037)
Al (0.250, 0.500, 0.750)
Au (0.107, 0.765, 0.003)
Au (0.997, 0.104, 0.762)
Au (0.823, 0.232, 0.386)
Au (0.614, 0.437, 0.846)
Au (0.409, 0.563, 0.177)
Au (0.658, 0.896, 0.893)
Au (0.238, 0.235, 0.342)
Au (0.154, 0.768, 0.591)

Summary:
The space group is No. 82.

| no. | energy of formation (eV per atom) |
| --- | --- |
| 1 | -0.39 |
| 2 | -0.17 |
| 3 | -0.24 |
| 4 | -0.26 |